A geometry-optimized Sn2Hg5Pd12 structure. Source: Alexandria via LeMat-Bulk, functional PBE.

The structure in POSCAR format:
```
Sn2Hg5Pd12
1.0
-1.022 -6.765 -5.267
6.752 1.742 3.530
-1.925 -3.335 4.658
Sn Pd Hg
2 12 5
direct
0.755 0.000 0.000
0.245 0.000 0.000
0.945 0.384 0.203
0.172 0.799 0.389
0.055 0.616 0.797
0.627 0.799 0.389
0.373 0.201 0.611
0.438 0.384 0.203
0.117 0.234 0.908
0.828 0.201 0.611
0.562 0.616 0.797
0.544 0.088 0.275
0.456 0.912 0.725
0.883 0.766 0.092
0.000 0.000 0.500
0.239 0.479 0.528
0.678 0.356 0.916
0.322 0.644 0.084
0.761 0.521 0.472
```

## Properties
**Energy of formation**: -4.15 eV per formula unit
**V**: 339.4 Å³/cell